No. 1
HoPaRh | PBE | relaxed

Computed properties:
**Energy above the most stable polymorph in this dataset**: 0 meV/atom
**Energy relative to the elements**: -460 meV/atom

abc: 3.5549 3.5549 10.9486
angles: 90.00 90.00 90.00
With the nearest neighbours (Å) after each atom.
Space group I4mm (No. 107)
Inequivalent atoms, fractional coordinates:
Ho  0.0000  0.0000  0.0000 (multiplicity 2)  5 Rh 3.22-3.46, 5 Pa 3.26-3.35, 4 Ho 3.55
Pa  0.0000  0.0000  0.7018 (multiplicity 2)  4 Rh 2.81
Rh  0.0000  0.0000  0.3159 (multiplicity 2)  4 Pa 2.81

---

No. 2
HoPaRh | PBE | relaxed

Computed properties:
**Energy above the most stable polymorph in this dataset**: 270 meV/atom
**Energy relative to the elements**: -190 meV/atom

abc: 4.7592 4.7592 3.3724
angles: 90.00 90.00 120.00
With the nearest neighbours (Å) after each atom.
Space group P3m1 (No. 156)
Inequivalent atoms, fractional coordinates:
Ho  0.0000  0.0000  0.0000 (multiplicity 1)  3 Rh 3.01, 3 Pa 3.05
Pa  0.6667  0.3333  0.3906 (multiplicity 1)  3 Rh 2.87, 3 Ho 3.05
Rh  0.3333  0.6667  0.6374 (multiplicity 1)  3 Pa 2.87, 3 Ho 3.01

---

No. 3
HoPaRh3 | PBE | relaxed

Computed properties:
**Energy relative to the elements**: -765 meV/atom

abc: 4.1527 16.9803 5.6592
angles: 90.00 90.00 90.00
With the nearest neighbours (Å) after each atom.
Space group Cmcm (No. 63)
Inequivalent atoms, fractional coordinates:
Ho  0.0000  0.1833  0.2500 (multiplicity 4)  6 Rh 2.84-2.91
Pa  0.0000  0.4108  0.2500 (multiplicity 4)  9 Rh 2.69-2.93
Rh  0.0000  0.0000  0.0000 (multiplicity 4)  6 Rh 2.77-2.83, 4 Pa 2.93
Rh  0.0000  0.1967  0.7500 (multiplicity 4)  2 Pa 2.77, 4 Ho 2.84-2.91
Rh  0.0000  0.4309  0.7500 (multiplicity 4)  3 Pa 2.69-2.85, 4 Rh 2.77, 2 Ho 2.84

---

No. 4
HoPaRh | PBE | relaxed

Computed properties:
**Energy above the most stable polymorph in this dataset**: 267 meV/atom
**Energy relative to the elements**: -193 meV/atom

abc: 6.7534 6.7534 6.7534
angles: 90.00 90.00 90.00
With the nearest neighbours (Å) after each atom.
Space group F-43m (No. 216)
Inequivalent atoms, fractional coordinates:
Ho  0.0000  0.0000  0.0000 (multiplicity 4)  4 Rh 2.92
Pa  0.0000  0.0000  0.5000 (multiplicity 4)  4 Rh 2.92
Rh  0.2500  0.2500  0.2500 (multiplicity 4)  4 Ho 2.92, 4 Pa 2.92

---

No. 5
HoPaRh4 | PBE | relaxed

Computed properties:
**Energy above the most stable polymorph in this dataset**: 0 meV/atom
**Energy relative to the elements**: -804 meV/atom

abc: 4.3884 13.0391 7.5144
angles: 90.00 90.00 90.00
With the nearest neighbours (Å) after each atom.
Space group Cmcm (No. 63)
Inequivalent atoms, fractional coordinates:
Ho  0.0000  0.1938  0.2500 (multiplicity 4)  10 Rh 2.83-3.15
Pa  0.0000  0.4788  0.2500 (multiplicity 4)  10 Rh 2.67-2.90
Rh  0.0000  0.0000  0.0000 (multiplicity 4)  6 Rh 2.83-2.97, 4 Pa 2.90, 2 Ho 3.15
Rh  0.0000  0.1621  0.7500 (multiplicity 4)  8 Rh 2.83-3.00, 2 Pa 2.86, 2 Ho 2.89
Rh  0.0000  0.3471  0.5225 (multiplicity 8)  2 Pa 2.67-2.84, 3 Ho 2.83-2.86, 3 Rh 2.96-2.97

---

No. 6
HoPaRh2 | PBE | relaxed

Computed properties:
**Energy above the most stable polymorph in this dataset**: 98 meV/atom
**Energy relative to the elements**: -785 meV/atom

abc: 3.8945 3.8945 20.3198
angles: 90.00 90.00 120.00
With the nearest neighbours (Å) after each atom.
Space group R-3m (No. 166, hexagonal axes)
Inequivalent atoms, fractional coordinates:
Ho  0.0000  0.0000  0.0000 (multiplicity 3)  6 Rh 2.89
Pa  0.0000  0.0000  0.5000 (multiplicity 3)  6 Rh 2.74
Rh  0.0000  0.0000  0.2439 (multiplicity 6)  3 Pa 2.74, 3 Ho 2.89

---

It is found that the total magnetic moment values, taken in the order of the records, are 0.0; 0.0; 0.0; 2.1; 0.0; 0.0 μB per cell.